TlMoF2 (GGA+U, relaxed); symmetry = No. 225; energy above the lowest structure with this stoichiometry = 0.2635 eV per atom; V = 17.847 A^3/atom
1.0
6.585 0.000 0.000
0.000 6.585 0.000
0.000 0.000 6.585
Tl Mo F
4 4 8
Direct
0.000 0.000 0.000
0.000 0.500 0.500
0.500 0.000 0.500
0.500 0.500 0.000
0.000 0.000 0.500
0.000 0.500 0.000
0.500 0.000 0.000
0.500 0.500 0.500
0.250 0.250 0.250
0.250 0.250 0.750
0.250 0.750 0.250
0.250 0.750 0.750
0.750 0.250 0.250
0.750 0.250 0.750
0.750 0.750 0.250
0.750 0.750 0.750